No. 1
Material: LiYTe2
Method: DFT, GGA-PBE
State: optimized geometry

Cell and atoms, written as POSCAR:
```
LiYTe2
1.0
5.409 -0.008 -0.005
0.085 5.408 0.005
-2.148 -3.310 3.700
Li Te Y
1 2 1
Direct
0.250 0.750 0.500 Li
0.021 0.021 0.000 Te
0.479 0.479 0.000 Te
0.750 0.250 0.500 Y
```

Results
Total moment: 0.0 Bohr magnetons per cell
Formation energy (no corrections): -1023 meV/atom



No. 2
Material: Na3Sn4Sb4
Method: DFT, GGA-PBE
State: optimized geometry

Cell and atoms, written as POSCAR:
```
Na3Sn4Sb4
1.0
4.309 0.000 0.000
0.000 5.278 0.000
-2.155 -2.639 17.249
Na Sn Sb
3 4 4
Direct
0.392 0.892 0.783 Na
0.608 0.108 0.217 Na
0.000 0.000 0.000 Na
0.804 0.304 0.609 Sn
0.458 0.458 0.915 Sn
0.542 0.542 0.085 Sn
0.196 0.696 0.391 Sn
0.243 0.243 0.486 Sb
0.099 0.599 0.198 Sb
0.901 0.401 0.802 Sb
0.757 0.757 0.514 Sb
```

Results
Total moment: 0.0 Bohr magnetons per cell
Formation energy (no corrections): -25 meV/atom



No. 3
Material: SrHo5In6
Method: DFT, GGA-PBE
State: optimized geometry

Cell and atoms, written as POSCAR:
```
SrHo5In6
1.0
5.152 0.004 -1.585
-0.823 6.965 -2.654
0.040 -0.490 9.295
Sr Ho In
1 5 6
Direct
0.000 0.000 0.000 Sr
0.339 0.839 0.678 Ho
0.669 0.669 0.338 Ho
0.000 0.500 0.000 Ho
0.331 0.331 0.662 Ho
0.661 0.161 0.322 Ho
0.171 0.429 0.342 In
0.171 0.912 0.342 In
0.500 0.267 0.000 In
0.500 0.733 0.000 In
0.829 0.088 0.658 In
0.829 0.571 0.658 In
```

Results
Total moment: 0.0 Bohr magnetons per cell
Energy of formation: -425.7 meV per atom



No. 4
Material: CoPtAu2Br
Method: DFT, GGA-PBE
State: optimized geometry

Cell and atoms, written as POSCAR:
```
CoPtAu2Br
1.0
4.896 0.000 0.000
0.000 4.319 0.000
0.000 0.000 4.896
Co Au Br Pt
1 2 1 1
Direct
0.000 0.000 0.000 Co
0.000 0.000 0.500 Au
0.500 0.000 0.000 Au
0.000 0.500 0.000 Br
0.500 0.500 0.500 Pt
```

Results
Total moment: 1.8 Bohr magnetons per cell
Formation energy (no corrections): 953 meV/atom



No. 5
Material: PuSnRh2
Method: DFT, GGA-PBE
State: optimized geometry

Cell and atoms, written as POSCAR:
```
PuSnRh2
1.0
6.276 0.000 0.000
-3.138 5.435 0.000
0.000 0.000 7.045
Pu Sn Rh
3 3 6
Direct
0.376 0.376 0.000 Pu
0.000 0.624 0.667 Pu
0.624 0.000 0.333 Pu
0.177 0.177 0.500 Sn
0.000 0.823 0.167 Sn
0.823 0.000 0.833 Sn
0.825 0.357 0.025 Rh
0.532 0.175 0.691 Rh
0.643 0.468 0.358 Rh
0.357 0.825 0.975 Rh
0.175 0.532 0.309 Rh
0.468 0.643 0.642 Rh
```

Results
Total moment: 13.7 Bohr magnetons per cell
Energy of formation: -426.8 meV per atom



No. 6
Material: Nb2MoAsAu
Method: DFT, GGA-PBE
State: optimized geometry

Cell and atoms, written as POSCAR:
```
Nb2MoAsAu
1.0
-4.484 -1.548 0.527
1.117 -4.158 -2.701
1.254 -2.267 4.009
As Mo Au Nb
1 1 1 2
Direct
0.500 0.500 0.500 As
0.000 0.000 0.000 Mo
0.000 0.500 0.000 Au
0.000 0.000 0.500 Nb
0.500 0.000 0.000 Nb
```

Results
Total moment: 0.0 Bohr magnetons per cell
Energy of formation: 1246.5 meV per atom



No. 7
Material: Cs2K2Tl
Method: DFT, GGA-PBE
State: optimized geometry

Cell and atoms, written as POSCAR:
```
Cs2K2Tl
1.0
-9.321 1.799 -1.735
-0.727 -8.361 -4.763
-1.880 -3.515 6.457
Cs K Tl
4 4 2
Direct
0.687 0.187 0.500 Cs
0.813 0.687 0.500 Cs
0.313 0.813 0.500 Cs
0.187 0.313 0.500 Cs
0.844 0.344 0.000 K
0.656 0.844 0.000 K
0.156 0.656 0.000 K
0.344 0.156 0.000 K
0.000 0.000 0.000 Tl
0.500 0.500 0.000 Tl
```

Results
Total moment: 1.0 Bohr magnetons per cell
E above lowest polymorph: 88.4 meV/atom
Energy of formation: 62.8 meV per atom



No. 8
Material: Al2Pd7Pt
Method: DFT, GGA-PBE
State: optimized geometry

Cell and atoms, written as POSCAR:
```
Al2Pd7Pt
1.0
-3.036 -2.853 -0.433
3.126 -2.423 -5.957
1.816 -2.887 6.284
Al Pd Pt
2 7 1
Direct
0.500 0.695 0.305 Al
0.500 0.305 0.695 Al
0.000 0.783 0.217 Pd
0.000 0.217 0.783 Pd
0.500 0.072 0.304 Pd
0.500 0.928 0.696 Pd
0.500 0.304 0.072 Pd
0.500 0.696 0.928 Pd
0.500 0.500 0.500 Pd
0.000 0.000 0.000 Pt
```

Results
Total moment: 0.0 Bohr magnetons per cell
E above lowest polymorph: 160.4 meV/atom
Energy of formation: -6.7 meV per atom



No. 9
Material: PmNd2Tm3S6
Method: DFT, GGA-PBE
State: optimized geometry

Cell and atoms, written as POSCAR:
```
PmNd2Tm3S6
1.0
3.897 0.000 0.000
0.000 8.024 0.156
-1.949 -2.449 8.326
Pm Nd Tm S
1 2 3 6
Direct
0.500 0.000 0.000 Pm
0.833 0.667 0.666 Nd
0.167 0.333 0.334 Nd
0.500 0.500 0.000 Tm
0.833 0.167 0.666 Tm
0.167 0.833 0.334 Tm
0.329 0.930 0.659 S
0.662 0.596 0.324 S
0.671 0.070 0.341 S
0.995 0.261 0.990 S
0.005 0.739 0.010 S
0.338 0.404 0.676 S
```

Results
Total moment: 0.0 Bohr magnetons per cell
Formation energy (no corrections): -1990 meV/atom



No. 10
Material: Si2TcP
Method: DFT, GGA-PBE
State: optimized geometry

Cell and atoms, written as POSCAR:
```
Si2TcP
1.0
4.518 -0.001 -0.002
3.479 2.883 -0.002
0.285 0.103 4.194
P Si Tc
1 2 1
Direct
0.750 0.750 0.750 P
0.983 0.983 0.010 Si
0.517 0.517 0.490 Si
0.250 0.250 0.250 Tc
```

Results
Total moment: 0.0 Bohr magnetons per cell
Formation energy (no corrections): 45 meV/atom



No. 11
Material: SmErTmTh
Method: DFT, GGA-PBE
State: optimized geometry

Cell and atoms, written as POSCAR:
```
SmErTmTh
1.0
5.657 0.000 0.000
2.829 4.899 0.000
2.829 1.633 4.619
Tm Sm Th Er
1 1 1 1
Direct
0.500 0.500 0.500 Tm
0.250 0.250 0.250 Sm
0.750 0.750 0.750 Th
0.000 0.000 0.000 Er
```

Results
Total moment: 0.0 Bohr magnetons per cell
E above lowest polymorph: 112.0 meV/atom
Energy of formation: 124.2 meV per atom



No. 12
Material: NaSr4Tl2In
Method: DFT, GGA-PBE
State: optimized geometry

Cell and atoms, written as POSCAR:
```
NaSr4Tl2In
1.0
-2.744 3.931 3.380
-4.089 -1.762 3.818
4.471 -0.353 9.130
Na Sr Tl In
1 4 2 1
Direct
0.000 0.000 0.000 Na
0.380 0.380 0.859 Sr
0.870 0.870 0.390 Sr
0.130 0.130 0.610 Sr
0.620 0.620 0.141 Sr
0.746 0.746 0.763 Tl
0.254 0.254 0.237 Tl
0.500 0.500 0.500 In
```

Results
Total moment: 0.0 Bohr magnetons per cell
Energy of formation: -326.1 meV per atom



No. 13
Material: RbCr
Method: DFT, GGA-PBE
State: optimized geometry

Cell and atoms, written as POSCAR:
```
RbCr
1.0
13.708 0.000 0.000
-6.854 11.871 0.000
0.000 0.000 3.705
Rb Cr
6 6
Direct
0.796 0.591 0.250 Rb
0.204 0.796 0.750 Rb
0.409 0.204 0.250 Rb
0.204 0.409 0.750 Rb
0.796 0.204 0.250 Rb
0.591 0.796 0.750 Rb
0.515 0.029 0.250 Cr
0.485 0.515 0.750 Cr
0.971 0.485 0.250 Cr
0.485 0.971 0.750 Cr
0.515 0.485 0.250 Cr
0.029 0.515 0.750 Cr
```

Results
Total moment: 0.0 Bohr magnetons per cell
E above lowest polymorph: 754.8 meV/atom
Energy of formation: 1580.4 meV per atom



No. 14
Material: NiRh2Cl
Method: DFT, GGA-PBE
State: optimized geometry

Cell and atoms, written as POSCAR:
```
NiRh2Cl
1.0
-1.783 2.090 0.747
0.395 -0.645 2.749
5.636 4.699 0.307
Cl Ni Rh
1 1 2
Direct
0.000 0.499 0.516 Cl
0.500 0.502 0.767 Ni
0.000 0.000 0.990 Rh
0.500 0.499 0.228 Rh
```

Results
Total moment: 0.4 Bohr magnetons per cell
Formation energy (no corrections): 222 meV/atom
E above lowest polymorph: 0.0 meV/atom



No. 15
Material: CsUS3
Method: DFT, GGA-PBE
State: optimized geometry

Cell and atoms, written as POSCAR:
```
CsUS3
1.0
5.250 0.000 0.000
0.000 5.250 0.000
0.000 0.000 5.250
Cs S U
1 3 1
Direct
0.500 0.500 0.500 Cs
0.000 0.500 0.000 S
0.000 0.000 0.500 S
0.500 0.000 0.000 S
0.000 0.000 0.000 U
```

Results
Total moment: 1.0 Bohr magnetons per cell
Formation energy (no corrections): -1353 meV/atom
E above lowest polymorph: 1.4 meV/atom



No. 16
Material: RbNaPdPt2
Method: DFT, GGA-PBE
State: optimized geometry

Cell and atoms, written as POSCAR:
```
RbNaPdPt2
1.0
5.050 0.000 0.000
0.000 5.233 0.000
0.000 0.000 5.050
Na Rb Pd Pt
1 1 1 2
Direct
0.000 0.500 0.000 Na
0.500 0.500 0.500 Rb
0.000 0.000 0.000 Pd
0.000 0.000 0.500 Pt
0.500 0.000 0.000 Pt
```

Results
Total moment: 1.1 Bohr magnetons per cell
Energy of formation: 370.7 meV per atom



No. 17
Material: AgGe2Au2
Method: DFT, GGA-PBE
State: optimized geometry

Cell and atoms, written as POSCAR:
```
AgGe2Au2
1.0
-0.985 -1.060 -4.372
-0.051 -4.473 1.096
-5.265 -2.468 -0.641
Ge Au Ag
2 2 1
Direct
0.375 0.375 0.250 Ge
0.625 0.625 0.750 Ge
0.750 0.250 0.500 Au
0.250 0.750 0.500 Au
0.000 0.000 0.000 Ag
```

Results
Total moment: 0.0 Bohr magnetons per cell
E above lowest polymorph: 78.9 meV/atom
Energy of formation: 182.6 meV per atom



No. 18
Material: YHf2N4
Method: DFT, GGA-PBE
State: optimized geometry

Cell and atoms, written as POSCAR:
```
YHf2N4
1.0
-1.864 2.598 0.381
-2.015 -2.798 -4.393
-6.257 -5.414 6.318
Y Hf N
2 4 8
Direct
0.609 0.218 0.750 Y
0.391 0.782 0.250 Y
0.132 0.264 0.431 Hf
0.868 0.736 0.931 Hf
0.132 0.264 0.069 Hf
0.868 0.736 0.569 Hf
0.764 0.528 0.115 N
0.764 0.528 0.385 N
0.236 0.472 0.885 N
0.236 0.472 0.615 N
0.954 0.908 0.750 N
0.046 0.092 0.250 N
0.500 0.000 0.000 N
0.500 0.000 0.500 N
```

Results
Total moment: 0.0 Bohr magnetons per cell
Formation energy (no corrections): -1473 meV/atom



No. 19
Material: La2Er2Cd15
Method: DFT, GGA-PBE
State: optimized geometry

Cell and atoms, written as POSCAR:
```
La2Er2Cd15
1.0
7.884 0.171 0.152
1.192 7.795 0.152
1.192 1.046 7.726
La Er Cd
2 2 15
Direct
0.330 0.330 0.330 La
0.670 0.670 0.670 La
0.099 0.099 0.099 Er
0.901 0.901 0.901 Er
0.500 0.000 0.000 Cd
0.000 0.000 0.500 Cd
0.000 0.500 0.000 Cd
0.000 0.709 0.291 Cd
0.709 0.291 0.000 Cd
0.291 0.000 0.709 Cd
0.291 0.709 0.000 Cd
0.709 0.000 0.291 Cd
0.000 0.291 0.709 Cd
0.151 0.632 0.632 Cd
0.632 0.632 0.151 Cd
0.632 0.151 0.632 Cd
0.849 0.368 0.368 Cd
0.368 0.368 0.849 Cd
0.368 0.849 0.368 Cd
```

Results
Total moment: 0.0 Bohr magnetons per cell
Energy of formation: -175.4 meV per atom



No. 20
Material: Ce2Ni15Ir2
Method: DFT, GGA-PBE
State: optimized geometry

Cell and atoms, written as POSCAR:
```
Ce2Ni15Ir2
1.0
-5.374 2.285 -2.461
-3.443 -0.120 5.319
0.859 6.055 1.659
Ce Ni Ir
2 15 2
Direct
0.340 0.340 0.340 Ce
0.660 0.660 0.660 Ce
0.500 0.000 0.000 Ni
0.000 0.000 0.500 Ni
0.000 0.500 0.000 Ni
0.000 0.704 0.296 Ni
0.704 0.296 0.000 Ni
0.296 0.000 0.704 Ni
0.296 0.704 0.000 Ni
0.704 0.000 0.296 Ni
0.000 0.296 0.704 Ni
0.158 0.653 0.653 Ni
0.653 0.653 0.158 Ni
0.653 0.158 0.653 Ni
0.842 0.347 0.347 Ni
0.347 0.347 0.842 Ni
0.347 0.842 0.347 Ni
0.105 0.105 0.105 Ir
0.895 0.895 0.895 Ir
```

Results
Total moment: 6.1 Bohr magnetons per cell
Energy of formation: -201.0 meV per atom



No. 21
Material: TeAsI2Cl
Method: DFT, GGA-PBE
State: optimized geometry

Cell and atoms, written as POSCAR:
```
TeAsI2Cl
1.0
5.600 0.000 0.000
0.000 5.600 0.000
0.000 0.000 5.701
I As Te Cl
2 1 1 1
Direct
0.000 0.500 0.000 I
0.500 0.000 0.000 I
0.000 0.000 0.000 As
0.000 0.000 0.500 Te
0.500 0.500 0.500 Cl
```

Results
Total moment: 1.7 Bohr magnetons per cell
Formation energy (no corrections): 321 meV/atom
E above lowest polymorph: 0.0 meV/atom



No. 22
Material: Mn2TcSe2
Method: DFT, GGA-PBE
State: optimized geometry

Cell and atoms, written as POSCAR:
```
Mn2TcSe2
1.0
-1.805 3.142 2.877
2.136 -2.036 3.564
3.247 2.825 2.672
Mn Tc Se
2 1 2
Direct
0.360 0.360 0.281 Mn
0.640 0.640 0.719 Mn
0.000 0.000 0.000 Tc
0.750 0.250 0.500 Se
0.250 0.750 0.500 Se
```

Results
Total moment: 7.4 Bohr magnetons per cell
Formation energy (no corrections): 551 meV/atom
E above lowest polymorph: 221.2 meV/atom



No. 23
Material: P2WSI
Method: DFT, GGA-PBE
State: optimized geometry

Cell and atoms, written as POSCAR:
```
P2WSI
1.0
4.877 0.000 0.000
0.000 4.877 0.000
0.000 0.000 4.571
I P S W
1 2 1 1
Direct
0.500 0.500 0.500 I
0.000 0.500 0.000 P
0.500 0.000 0.000 P
0.000 0.000 0.500 S
0.000 0.000 0.000 W
```

Results
Total moment: 0.0 Bohr magnetons per cell
Formation energy (no corrections): 387 meV/atom
E above lowest polymorph: 0.0 meV/atom



No. 24
Material: Na3RuPb3O8
Method: DFT, GGA-PBE
State: optimized geometry

Cell and atoms, written as POSCAR:
```
Na3RuPb3O8
1.0
6.919 0.000 0.000
-3.459 5.957 -0.013
0.000 -3.945 5.600
Na Ru Pb O
3 1 3 8
Direct
0.000 0.000 0.000 Na
0.000 0.500 0.000 Na
0.500 0.500 0.000 Na
0.000 0.000 0.500 Ru
0.500 0.000 0.500 Pb
0.500 0.500 0.500 Pb
0.000 0.500 0.500 Pb
0.250 0.501 0.258 O
0.750 0.499 0.742 O
0.794 0.587 0.304 O
0.206 0.413 0.696 O
0.797 0.011 0.304 O
0.203 0.989 0.696 O
0.214 0.011 0.304 O
0.786 0.989 0.696 O
```

Results
Total moment: 0.0 Bohr magnetons per cell
Formation energy (no corrections): -1197 meV/atom



Number 1: raw total energy -4.69 eV per atom. Number 2: raw total energy -3.34 eV per atom. Number 3: raw total energy -3.84 eV per atom. Number 4: raw total energy -3.32 eV per atom. Number 5: raw total energy -8.69 eV per atom. Number 6: raw total energy -6.53 eV per atom. Number 7: raw total energy -1.19 eV per atom. Number 8: raw total energy -4.99 eV per atom. Number 9: raw total energy -6.36 eV per atom. Number 10: raw total energy -6.61 eV per atom. Number 11: raw total energy -5.17 eV per atom. Number 12: raw total energy -2.27 eV per atom. Number 13: raw total energy -3.72 eV per atom. Number 14: raw total energy -5.36 eV per atom. Number 15: raw total energy -6.26 eV per atom. Number 16: raw total energy -3.54 eV per atom. Number 17: raw total energy -3.55 eV per atom. Number 18: raw total energy -10.00 eV per atom. Number 19: raw total energy -1.90 eV per atom. Number 20: raw total energy -6.32 eV per atom. Number 21: raw total energy -2.23 eV per atom. Number 22: raw total energy -6.58 eV per atom. Number 23: raw total energy -5.50 eV per atom. Number 24: raw total energy -5.47 eV per atom.